1.
# DyAgTeS

DyAgTeS after structural relaxation (GGA-PBE, OQMD via LeMat-Bulk).

abc: 6.908 6.908 4.304
angles: 90.00 90.00 98.09
Fractional positions:
Ag: 0.500 0.000 0.068
Ag: 0.000 0.500 0.068
Dy: 0.500 0.500 0.180
Dy: 0.000 0.000 0.786
S: 0.198 0.198 0.264
S: 0.802 0.802 0.264
Te: 0.709 0.291 0.686
Te: 0.291 0.709 0.686

Output
energy relative to the lowest polymorph listed for this composition = 5.6 meV/atom
SG = Cmm2


2.
# InGeAu3S4

InGeAu3S4 after structural relaxation (GGA-PBE, OQMD via LeMat-Bulk).

abc: 5.949 5.949 5.949
angles: 90.00 90.00 90.00
Fractional positions:
Au: 0.500 0.000 0.000
Au: 0.000 0.500 0.000
Au: 0.000 0.000 0.500
Ge: 0.000 0.000 0.000
In: 0.500 0.500 0.500
S: 0.743 0.257 0.257
S: 0.257 0.743 0.257
S: 0.257 0.257 0.743
S: 0.743 0.743 0.743

Output
energy relative to the lowest polymorph listed for this composition = 92.6 meV/atom
SG = P-43m


3.
# Nd3Ge3Pd2

Nd3Ge3Pd2 after structural relaxation (GGA-PBE, OQMD via LeMat-Bulk).

abc: 5.844 5.844 14.898
angles: 90.00 90.00 135.34
Fractional positions:
Ge: 0.890 0.110 0.039
Ge: 0.164 0.836 0.250
Ge: 0.890 0.110 0.461
Ge: 0.110 0.890 0.539
Ge: 0.836 0.164 0.750
Ge: 0.110 0.890 0.961
Nd: 0.594 0.406 0.108
Nd: 0.870 0.130 0.250
Nd: 0.594 0.406 0.392
Nd: 0.406 0.594 0.608
Nd: 0.130 0.870 0.750
Nd: 0.406 0.594 0.892
Pd: 0.302 0.698 0.100
Pd: 0.302 0.698 0.400
Pd: 0.698 0.302 0.600
Pd: 0.698 0.302 0.900

Output
raw total energy = -5.72 eV per atom
SG = Cmcm


4.
# NpFeAu

NpFeAu after structural relaxation (GGA-PBE, OQMD via LeMat-Bulk).

abc: 4.443 4.443 4.443
angles: 60.00 60.00 60.00
Last column: magnetic moment on the atom in μB.
Fractional positions:
Au: 0.250 0.250 0.250  0.00
Fe: 0.750 0.750 0.750  -0.13
Np: 0.000 0.000 0.000  0.01

Output
raw total energy = -7.12 eV per atom
SG = F-43m